Record 1
Nd12Dy6Zr | PBE | relaxed

The structure belongs to space group R-3 (No. 148, hexagonal axes); the cell edges are 15.7327, 15.7327 and 8.8415 Å and the angles 90.00°, 90.00° and 120.00°. The asymmetric unit holds Nd at (0.0355, 0.7548, 0.3386), Nd at (0.0761, 0.5123, 0.6660), Dy at (0.0171, 0.8816, 0.6719) and Zr at (0.0000, 0.0000, 0.0000).

For the energy relative to the elements, the calculation gives 0.7 eV per formula unit. As for the total energy: -4.88 eV per atom.


Record 2
Nd14DyZr | PBE | relaxed

The structure belongs to space group P4/mmm (No. 123); the cell edges are 7.278, 7.278 and 10.291 Å and the angles 90.00°, 90.00° and 90.00°. The asymmetric unit holds Nd at (0.000, 0.000, 0.000), Nd at (0.000, 0.500, 0.000), Nd at (0.000, 0.500, 0.500), Nd at (0.245, 0.245, 0.257), Nd at (0.500, 0.500, 0.000), Dy at (0.500, 0.500, 0.500) and Zr at (0.000, 0.000, 0.500).

For the energy relative to the elements, the calculation gives 0.8 eV per formula unit. As for the total energy: -4.95 eV per atom.


Record 3
Dy4Ni | PBE | relaxed

The structure belongs to space group Fd-3m (No. 227, origin choice 2); the cell edges are 10.599, 10.599 and 10.599 Å and the angles 90.00°, 90.00° and 90.00°. The asymmetric unit holds Dy at (0.012, 0.012, 0.238) and Ni at (0.125, 0.125, 0.625).

For the distance to the lowest polymorph of the same formula, the calculation gives 1.806 eV per formula unit. For the energy relative to the elements, the calculation gives 1.2 eV per formula unit. As for the total energy: -4.60 eV per atom.


Record 4
Dy3Ni2 | PBE | relaxed

The structure belongs to space group C2/m (No. 12); the cell edges are 17.609, 3.999 and 10.331 Å and the angles 90.00°, 97.56° and 90.00°. The asymmetric unit holds Dy at (0.000, 0.000, 0.000), Dy at (0.039, 0.000, 0.659), Dy at (0.122, 0.500, 0.276), Dy at (0.171, 0.500, 0.951), Dy at (0.209, 0.500, 0.615), Ni at (0.029, 0.500, 0.828), Ni at (0.136, 0.000, 0.462) and Ni at (0.187, 0.000, 0.139).

For the distance to the lowest polymorph of the same formula, the calculation gives 0.581 eV per formula unit. For the energy relative to the elements, the calculation gives -1.3 eV per formula unit. As for the total energy: -5.33 eV per atom.


Taking the records one at a time from the top gives calculated density values of 7.4 6.9 7.9 8.4 g cm⁻³.